No. 1
PBE Y2ScAgN, relaxed; DFT total energy = -0.508 Ry per atom; space-group type = P4/mmm (123); distance to the lowest polymorph of the same formula = 0 meV per atom; total moment = 0.000 μB/atom
1.0
-0.181 3.600 3.332
-3.763 -2.241 2.217
2.752 -2.162 2.485
Ag Y Sc N
1 2 1 1
direct
0.500 0.500 0.500
0.500 0.000 0.000
0.000 0.500 0.000
0.000 0.000 0.500
0.000 0.000 0.000


No. 2
PBE Zn6ClO6, relaxed; DFT total energy = -0.311 Ry per atom; space-group type = Pm-3 (200); total moment = 0.000 μB/atom
1.0
-4.669 2.914 1.409
-2.288 -4.721 2.182
2.290 1.226 5.053
Zn O Cl
6 6 1
direct
0.000 0.243 0.500
0.757 0.500 0.000
0.500 0.000 0.757
0.500 0.000 0.243
0.243 0.500 0.000
0.000 0.757 0.500
0.000 0.500 0.258
0.258 0.000 0.500
0.742 0.000 0.500
0.500 0.742 0.000
0.500 0.258 0.000
0.000 0.500 0.742
0.000 0.000 0.000


No. 3
PBE Tb7Dy2Y, relaxed; DFT total energy = -0.352 Ry per atom; space-group type = P-1 (2); distance to the lowest polymorph of the same formula = 0 meV per atom; total moment = 0.000 μB/atom; ΔE_f = 0.014 eV per atom
1.0
5.491 -2.204 1.689
-4.246 7.893 -5.785
2.868 -1.811 10.719
Dy Tb Y
2 7 1
direct
0.600 0.399 0.599
0.400 0.601 0.401
0.802 0.201 0.800
0.700 0.301 0.201
0.198 0.799 0.200
0.100 0.900 0.599
0.300 0.699 0.799
0.500 0.500 0.000
0.900 0.100 0.401
0.000 0.000 0.000


No. 4
PBE SrErZn2Au5, relaxed; DFT total energy = -0.238 Ry per atom; space-group type = P4/mmm (123); total moment = 0.000 μB/atom; ΔE_f = -0.443 eV per atom
1.0
-1.604 0.662 -4.548
-3.370 -3.445 0.687
-5.251 5.670 2.678
Zn Au Er Sr
2 5 1 1
direct
0.500 0.500 0.153
0.500 0.500 0.847
0.500 0.000 0.239
0.000 0.500 0.239
0.500 0.500 0.500
0.000 0.500 0.761
0.500 0.000 0.761
0.000 0.000 0.000
0.000 0.000 0.500


No. 5
PBE KNb2CuOs, relaxed; DFT total energy = -0.390 Ry per atom; space-group type = P4/mmm (123); total moment = 0.203 μB/atom; ΔE_f = 2.011 eV per atom
1.0
4.744 0.000 0.000
0.000 4.855 0.000
0.000 0.000 4.744
Cu Os Nb K
1 1 2 1
direct
0.000 0.000 0.000
0.500 0.500 0.500
0.000 0.000 0.500
0.500 0.000 0.000
0.000 0.500 0.000


No. 6
PBE TcN2Cl, relaxed; DFT total energy = -0.501 Ry per atom; space-group type = I-42d (122); distance to the lowest polymorph of the same formula = 0 meV per atom; total moment = 0.000 μB/atom
1.0
-5.336 -0.492 -2.529
2.555 -0.268 -5.339
-1.158 -4.546 -3.614
Tc Cl N
2 2 4
direct
0.000 0.000 0.000
0.750 0.250 0.500
0.250 0.750 0.500
0.500 0.500 0.000
0.875 0.126 0.750
0.874 0.625 0.250
0.876 0.125 0.250
0.375 0.124 0.750


No. 7
PBE LiTa2Sb, relaxed; DFT total energy = -0.543 Ry per atom; space-group type = Immm (71); total moment = 0.000 μB/atom
1.0
5.330 -0.006 -0.003
2.344 4.787 0.003
-3.597 -2.776 2.787
Sb Li Ta
1 1 2
direct
0.250 0.750 0.500
0.750 0.250 0.500
0.504 0.504 0.000
0.996 0.996 0.000


No. 8
PBE PmCu4Rh, relaxed; DFT total energy = -0.365 Ry per atom; space-group type = F-43m (216); total moment = 0.000 μB/atom; ΔE_f = -0.222 eV per atom
1.0
5.035 0.000 0.000
2.517 4.360 0.000
2.517 1.453 4.111
Pm Cu Rh
1 4 1
direct
0.250 0.250 0.250
0.121 0.626 0.626
0.626 0.121 0.626
0.626 0.626 0.626
0.626 0.626 0.121
0.000 0.000 0.000


Copy entry 1 word for word.
PBE Y2ScAgN, relaxed; DFT total energy = -0.508 Ry per atom; space-group type = P4/mmm (123); distance to the lowest polymorph of the same formula = 0 meV per atom; total moment = 0.000 μB/atom
1.0
-0.181 3.600 3.332
-3.763 -2.241 2.217
2.752 -2.162 2.485
Ag Y Sc N
1 2 1 1
direct
0.500 0.500 0.500
0.500 0.000 0.000
0.000 0.500 0.000
0.000 0.000 0.500
0.000 0.000 0.000